[1]
Here is an optimized crystal structure of Tb12Pm2Y5 from Alexandria via LeMat-Bulk. Energies are from PBE-GGA.

The space group is C2/m (No. 12) and the conventional cell measures 15.889, 9.208 and 8.591 Å, with angles of 90.00, 91.28 and 90.00 degrees. The asymmetric unit holds Tb at (0.058, 0.000, 0.335), Tb at (0.091, 0.500, 0.884), Tb at (0.127, 0.193, 0.659), Tb at (0.154, 0.319, 0.243), Pm at (0.000, 0.180, 0.000), Y at (0.000, 0.500, 0.500), Y at (0.199, 0.000, 0.012) and Y at (0.232, 0.500, 0.574).

As for the formation energy from the elements: 127 meV per atom. The volume comes out at 33.07 A^3/atom.

[2]
Here is an optimized crystal structure of CsCd2InHg from Alexandria via LeMat-Bulk. Energies are from PBE-GGA.

The space group is Cm (No. 8) and the conventional cell measures 13.803, 5.106 and 5.087 Å, with angles of 90.00, 111.54 and 90.00 degrees. The asymmetric unit holds Cs at (0.000, 0.000, 0.000), Cd at (0.127, 0.500, 0.627), Cd at (0.250, 0.000, 0.750), In at (0.253, 0.500, 0.252) and Hg at (0.385, 0.000, 0.385).

As for the formation energy from the elements: -97 meV per atom. The volume comes out at 33.35 A^3/atom.

[3]
Here is an optimized crystal structure of La4CdRhAu2 from Alexandria via LeMat-Bulk. Energies are from PBE-GGA.

The space group is R-3m (No. 166, hexagonal axes) and the conventional cell measures 5.3780, 5.3780 and 25.6601 Å, with angles of 90.00, 90.00 and 120.00 degrees. The asymmetric unit holds La at (0.0000, 0.0000, 0.1134), La at (0.0000, 0.0000, 0.3650), Cd at (0.0000, 0.0000, 0.5000), Rh at (0.0000, 0.0000, 0.0000) and Au at (0.0000, 0.0000, 0.2368).

As for the formation energy from the elements: -658 meV per atom. The volume comes out at 26.78 A^3/atom.

> The highest formation energy from the elements belongs to which entry?

Tb12Pm2Y5